# HfRhNF2, relaxed, DFT PBEsol
data_HfRhNF2
_symmetry_space_group_name_H-M 'P 4/m m m'
_symmetry_Int_Tables_number 123
_symmetry_space_group_name_Hall '-P 4 2'
_cell_length_a 4.1062
_cell_length_b 4.1062
_cell_length_c 3.8077
_cell_angle_alpha 90.00
_cell_angle_beta 90.00
_cell_angle_gamma 90.00
loop_
_atom_site_label
_atom_site_type_symbol
_atom_site_fract_x
_atom_site_fract_y
_atom_site_fract_z
Hf1 Hf 0.0000 0.0000 0.0000
Rh1 Rh 0.5000 0.5000 0.5000
N1 N 0.5000 0.5000 0.0000
F1 F 0.0000 0.5000 0.5000
# Uncorrected formation energy, kJ/mol of formula units: -136
# Crystal system: tetragonal

=====

# SrEu3Ni2O8, relaxed, DFT PBEsol
data_SrEu3Ni2O8
_symmetry_space_group_name_H-M 'A m m 2'
_symmetry_Int_Tables_number 38
_symmetry_space_group_name_Hall 'A 2 -2'
_cell_length_a 5.3092
_cell_length_b 5.3205
_cell_length_c 11.9183
_cell_angle_alpha 90.00
_cell_angle_beta 90.00
_cell_angle_gamma 90.00
loop_
_atom_site_label
_atom_site_type_symbol
_atom_site_fract_x
_atom_site_fract_y
_atom_site_fract_z
Sr1 Sr 0.0000 0.0000 0.0000
Eu1 Eu 0.0000 0.0000 0.7197
Eu2 Eu 0.5000 0.0000 0.2178
Eu3 Eu 0.5000 0.0000 0.4962
Ni1 Ni 0.0000 0.0000 0.3607
Ni2 Ni 0.5000 0.0000 0.8597
O1 O 0.0000 0.0000 0.1997
O2 O 0.0000 0.0000 0.5249
O3 O 0.2544 0.2461 0.3545
O4 O 0.5000 0.0000 0.0231
O5 O 0.5000 0.0000 0.6918
# Uncorrected formation energy, kJ/mol of formula units: -3045
# Crystal system: orthorhombic

=====

# Mg2PdWS, relaxed, DFT PBEsol
data_Mg2PdWS
_symmetry_space_group_name_H-M 'P 4/m m m'
_symmetry_Int_Tables_number 123
_symmetry_space_group_name_Hall '-P 4 2'
_cell_length_a 4.8177
_cell_length_b 4.8177
_cell_length_c 4.7522
_cell_angle_alpha 90.00
_cell_angle_beta 90.00
_cell_angle_gamma 90.00
loop_
_atom_site_label
_atom_site_type_symbol
_atom_site_fract_x
_atom_site_fract_y
_atom_site_fract_z
Mg1 Mg 0.0000 0.5000 0.0000
Pd1 Pd 0.0000 0.0000 0.0000
W1 W 0.0000 0.0000 0.5000
S1 S 0.5000 0.5000 0.5000
# Uncorrected formation energy, kJ/mol of formula units: 384
# Crystal system: tetragonal

=====

# K2HgPt, relaxed, DFT PBEsol
data_K2HgPt
_symmetry_space_group_name_H-M 'I m m 2'
_symmetry_Int_Tables_number 44
_symmetry_space_group_name_Hall 'I 2 -2'
_cell_length_a 4.3073
_cell_length_b 5.2659
_cell_length_c 9.9600
_cell_angle_alpha 90.00
_cell_angle_beta 90.00
_cell_angle_gamma 90.00
loop_
_atom_site_label
_atom_site_type_symbol
_atom_site_fract_x
_atom_site_fract_y
_atom_site_fract_z
K1 K 0.0000 0.0000 0.0000
K2 K 0.0000 0.5000 0.2074
Hg1 Hg 0.0000 0.0000 0.4313
Pt1 Pt 0.0000 0.5000 0.7647
# Crystal system: orthorhombic
# VASP energy, eV for the cell shown: -19.724

=====

# Nb4Te9I4O, relaxed, DFT PBEsol
data_Nb4Te9I4O
_symmetry_space_group_name_H-M 'C 1 2/c 1'
_symmetry_Int_Tables_number 15
_symmetry_space_group_name_Hall '-C 2yc'
_cell_length_a 22.0170
_cell_length_b 6.1621
_cell_length_c 20.1059
_cell_angle_alpha 90.00
_cell_angle_beta 122.46
_cell_angle_gamma 90.00
loop_
_atom_site_label
_atom_site_type_symbol
_atom_site_fract_x
_atom_site_fract_y
_atom_site_fract_z
Nb1 Nb 0.0624 0.0616 0.3559
Nb2 Nb 0.0808 0.3042 0.2356
Te1 Te 0.0000 0.3010 0.7500
Te2 Te 0.0250 0.3642 0.4320
Te3 Te 0.0568 0.0043 0.6235
Te4 Te 0.1737 0.3653 0.4052
Te5 Te 0.1808 0.0048 0.8346
I1 I 0.1415 0.1985 0.9914
I2 I 0.1750 0.4303 0.7193
O1 O 0.0000 0.2473 0.2500
# Uncorrected formation energy, kJ/mol of formula units: -961
# Crystal system: monoclinic

=====

# Tl2CrW, relaxed, DFT PBEsol
data_Tl2CrW
_symmetry_space_group_name_H-M 'C 1 2/m 1'
_symmetry_Int_Tables_number 12
_symmetry_space_group_name_Hall '-C 2y'
_cell_length_a 6.0660
_cell_length_b 9.5227
_cell_length_c 2.9682
_cell_angle_alpha 90.00
_cell_angle_beta 117.23
_cell_angle_gamma 90.00
loop_
_atom_site_label
_atom_site_type_symbol
_atom_site_fract_x
_atom_site_fract_y
_atom_site_fract_z
Tl1 Tl 0.2500 0.2500 0.0000
Cr1 Cr 0.0000 0.0000 0.5000
W1 W 0.0000 0.5000 0.5000
# E above lowest polymorph, meV/atom: 169
# Crystal system: monoclinic

=====

# RbHfMo2N, relaxed, DFT PBEsol
data_RbHfMo2N
_symmetry_space_group_name_H-M 'P 4/m m m'
_symmetry_Int_Tables_number 123
_symmetry_space_group_name_Hall '-P 4 2'
_cell_length_a 4.7178
_cell_length_b 4.7178
_cell_length_c 7.2999
_cell_angle_alpha 90.00
_cell_angle_beta 90.00
_cell_angle_gamma 90.00
loop_
_atom_site_label
_atom_site_type_symbol
_atom_site_fract_x
_atom_site_fract_y
_atom_site_fract_z
Rb1 Rb 0.0000 0.0000 0.0000
Hf1 Hf 0.0000 0.0000 0.5000
Mo1 Mo 0.0000 0.5000 0.5000
N1 N 0.5000 0.5000 0.0000
# Uncorrected formation energy, kJ/mol of formula units: 1392
# Crystal system: tetragonal

=====

# Na3TiPt, relaxed, DFT PBEsol
data_Na3TiPt
_symmetry_space_group_name_H-M 'P m -3 m'
_symmetry_Int_Tables_number 221
_symmetry_space_group_name_Hall '-P 4 2 3'
_cell_length_a 5.3121
_cell_length_b 5.3121
_cell_length_c 5.3121
_cell_angle_alpha 90.00
_cell_angle_beta 90.00
_cell_angle_gamma 90.00
loop_
_atom_site_label
_atom_site_type_symbol
_atom_site_fract_x
_atom_site_fract_y
_atom_site_fract_z
Na1 Na 0.0000 0.0000 0.5000
Ti1 Ti 0.5000 0.5000 0.5000
Pt1 Pt 0.0000 0.0000 0.0000
# E above lowest polymorph, meV/atom: 0
# Crystal system: cubic

=====

# LaMnMo2, relaxed, DFT PBEsol
data_LaMnMo2
_symmetry_space_group_name_H-M 'F -4 3 m'
_symmetry_Int_Tables_number 216
_symmetry_space_group_name_Hall 'F -4 2 3'
_cell_length_a 6.4268
_cell_length_b 6.4268
_cell_length_c 6.4268
_cell_angle_alpha 90.00
_cell_angle_beta 90.00
_cell_angle_gamma 90.00
loop_
_atom_site_label
_atom_site_type_symbol
_atom_site_fract_x
_atom_site_fract_y
_atom_site_fract_z
La1 La 0.0000 0.0000 0.0000
Mn1 Mn 0.2500 0.2500 0.7500
Mo1 Mo 0.0000 0.0000 0.5000
Mo2 Mo 0.2500 0.2500 0.2500
# E above lowest polymorph, meV/atom: 102
# Crystal system: cubic

=====

# MnSb2Se4, relaxed, DFT PBEsol
data_MnSb2Se4
_symmetry_space_group_name_H-M 'C 1 2/m 1'
_symmetry_Int_Tables_number 12
_symmetry_space_group_name_Hall '-C 2y'
_cell_length_a 12.9493
_cell_length_b 3.9496
_cell_length_c 14.9607
_cell_angle_alpha 90.00
_cell_angle_beta 115.33
_cell_angle_gamma 90.00
loop_
_atom_site_label
_atom_site_type_symbol
_atom_site_fract_x
_atom_site_fract_y
_atom_site_fract_z
Mn1 Mn 0.0000 0.0000 0.0000
Mn2 Mn 0.0000 0.0000 0.5000
Sb1 Sb 0.1487 0.5000 0.3625
Sb2 Sb 0.2237 0.0000 0.8733
Se1 Se 0.0134 0.0000 0.6746
Se2 Se 0.0999 0.5000 0.9443
Se3 Se 0.1582 0.5000 0.5446
Se4 Se 0.1654 0.0000 0.1794
# Uncorrected formation energy, kJ/mol of formula units: -181
# Crystal system: monoclinic

=====

# P2HSCl, relaxed, DFT PBEsol
data_P2HSCl
_symmetry_space_group_name_H-M 'P 4/m m m'
_symmetry_Int_Tables_number 123
_symmetry_space_group_name_Hall '-P 4 2'
_cell_length_a 4.3315
_cell_length_b 4.3315
_cell_length_c 3.5814
_cell_angle_alpha 90.00
_cell_angle_beta 90.00
_cell_angle_gamma 90.00
loop_
_atom_site_label
_atom_site_type_symbol
_atom_site_fract_x
_atom_site_fract_y
_atom_site_fract_z
P1 P 0.0000 0.5000 0.0000
H1 H 0.0000 0.0000 0.0000
S1 S 0.0000 0.0000 0.5000
Cl1 Cl 0.5000 0.5000 0.5000
# Crystal system: tetragonal
# VASP energy, eV for the cell shown: -16.880

=====

# RbReAu3, relaxed, DFT PBEsol
data_RbReAu3
_symmetry_space_group_name_H-M 'P m -3 m'
_symmetry_Int_Tables_number 221
_symmetry_space_group_name_Hall '-P 4 2 3'
_cell_length_a 5.4180
_cell_length_b 5.4180
_cell_length_c 5.4180
_cell_angle_alpha 90.00
_cell_angle_beta 90.00
_cell_angle_gamma 90.00
loop_
_atom_site_label
_atom_site_type_symbol
_atom_site_fract_x
_atom_site_fract_y
_atom_site_fract_z
Rb1 Rb 0.0000 0.0000 0.0000
Re1 Re 0.5000 0.5000 0.5000
Au1 Au 0.0000 0.0000 0.5000
# Crystal system: cubic
# VASP energy, eV for the cell shown: -12.785

=====

Result set for N(E_F): 3.55 78.17 2.46 1.57 6.14 6.95 5.84 8.98 18.29 0.40 3.00 3.22 states/eV per cell, one per record in the order listed.
Result set for spin magnetization: 0.0 12.8 1.9 0.0 0.0 6.6 3.7 3.0 3.5 20.0 0.0 4.8 μB per cell, one per record in the order listed.